No. 1
First-principles (PBE-GGA) data for a relaxed Ce2HoN crystal, as listed in Alexandria.

The energy above the lowest structure with this stoichiometry comes out at 322 meV/atom. The raw formation energy comes out at -288 meV per atom. The final energy comes out at -25.92 eV per cell.

It has space group P4/mmm (No. 123), with a = 3.126 Å, b = 3.126 Å, c = 8.889 Å, α = 90.00°, β = 90.00° and γ = 90.00°. Symmetry generates all atoms from Ce at (0.000, 0.000, 0.160), Ho at (0.500, 0.500, 0.500) and N at (0.500, 0.500, 0.000).

---

No. 2
First-principles (PBE-GGA) data for a relaxed Ce3Ho4N8 crystal, as listed in Alexandria.

The raw formation energy comes out at -1365 meV per atom. The final energy comes out at -246.39 eV per cell.

It has space group C2/m (No. 12), with a = 9.665 Å, b = 9.880 Å, c = 6.949 Å, α = 90.00°, β = 133.70° and γ = 90.00°. Symmetry generates all atoms from Ce at (0.000, 0.000, 0.000), Ce at (0.250, 0.250, 0.500), Ho at (0.000, 0.500, 0.000), Ho at (0.000, 0.500, 0.500), Ho at (0.250, 0.250, 0.000), N at (0.000, 0.254, 0.000), N at (0.000, 0.264, 0.500), N at (0.236, 0.500, 0.495) and N at (0.245, 0.500, 0.969).

---

No. 3
First-principles (PBE-GGA) data for a relaxed CeHoN crystal, as listed in Alexandria.

The energy above the lowest structure with this stoichiometry comes out at 0 meV/atom. The raw formation energy comes out at -958 meV per atom. The final energy comes out at -21.71 eV per cell.

It has space group P3m1 (No. 156), with a = 3.4616 Å, b = 3.4616 Å, c = 6.2531 Å, α = 90.00°, β = 90.00° and γ = 120.00°. Symmetry generates all atoms from Ce at (0.0000, 0.0000, 0.0000), Ho at (0.6667, 0.3333, 0.5607) and N at (0.3333, 0.6667, 0.7646).

---

No. 4
First-principles (PBE-GGA) data for a relaxed CeHo4N4 crystal, as listed in Alexandria.

The energy above the lowest structure with this stoichiometry comes out at 0 meV/atom. The raw formation energy comes out at -1456 meV per atom. The final energy comes out at -141.30 eV per cell.

It has space group I4/m (No. 87), with a = 7.825 Å, b = 7.825 Å, c = 4.893 Å, α = 90.00°, β = 90.00° and γ = 90.00°. Symmetry generates all atoms from Ce at (0.000, 0.000, 0.000), Ho at (0.108, 0.313, 0.500) and N at (0.097, 0.299, 0.000).